12
Lattice="-4.6563 0.7384 -3.7929 3.7881 -2.0689 -4.2405 -1.7455 -6.1073 5.3739" Properties=species:S:1:pos:R:3 comment="La2InNi3 PBE optimized geometry" energy_ry_per_atom=-0.387 formation_energy_ev_per_atom=-0.281 rho_g_cm3=7.15 pbc="T T T"
La 0.8043 -4.4207 -1.4416
La -0.6684 -1.0243 -6.1847
La -3.4179 -3.0171 -1.2178
La -0.1998 -0.3062 -1.8486
In -1.1521 -2.8964 -3.5695
In -1.4615 -4.5414 0.9101
Ni 1.3987 -2.5092 -3.9093
Ni 0.3711 -6.3858 1.0176
Ni -4.0123 -4.9286 1.2499
Ni -2.9847 -1.0520 -3.6770
Ni -0.6817 -2.1183 0.4245
Ni -1.9319 -5.3196 -3.0839